Entry from Alexandria via LeMat-Bulk: an optimized crystal structure of Pr3Er4Mg (PBE).

Lattice parameters (Å, degrees): 5.749 5.932 8.555 109.75 109.63 90.00
Atoms (fractional coordinates):
Pr: 0.000 0.500 0.000
Pr: 0.870 0.907 0.740
Pr: 0.130 0.093 0.260
Mg: 0.500 0.000 0.000
Er: 0.750 0.303 0.499
Er: 0.250 0.697 0.501
Er: 0.373 0.330 0.745
Er: 0.627 0.670 0.255

Output
Raw total energy (eV/atom): -4.2010
Energy relative to the elements (eV per atom): 0.0721
Space-group type: C2/m, No. 12
ρ (g/cm3): 7.23